SiIrOs2 | PBE-GGA | relaxed

Formation energy without anion corrections ... 60 kJ/mol of formula units
Calculated volume ... 13.97 Å³/atom
E ... -36.121 eV/f.u.

CIF file:
```
data_SiIrOs2
_chemical_formula_sum 'Si1 Ir1 Os2'
_symmetry_space_group_name_H-M 'P m m m'
_symmetry_Int_Tables_number 47
_symmetry_space_group_name_Hall '-P 2 2'
_cell_length_a 2.7656
_cell_length_b 3.7225
_cell_length_c 5.4292
_cell_angle_alpha 90.00
_cell_angle_beta 90.00
_cell_angle_gamma 90.00
loop_
_atom_site_label
_atom_site_type_symbol
_atom_site_fract_x
_atom_site_fract_y
_atom_site_fract_z
Si1 Si 0.0000 0.0000 0.0000
Ir1 Ir 0.0000 0.0000 0.5000
Os1 Os 0.5000 0.5000 0.2411
```